{"formula": "LuPdPb2", "functional": "PBE", "state": "optimized geometry", "cell": [[3.458, 0.000, 0.000], [1.729, 2.995, 0.000], [1.729, 0.998, 10.377]], "species": ["Pb", "Pb", "Lu", "Pd"], "fractional_positions": [[0.900, 0.900, 0.300], [0.100, 0.100, 0.700], [0.000, 0.000, 0.000], [0.500, 0.500, 0.500]], "crystal_system": "trigonal", "e_above_lowest_polymorph_mev_per_atom": 296.9, "sg": "R-3m (166)", "rho_g_cm3": 10.75}

---

{"formula": "LuPd2Pb", "functional": "PBE", "state": "optimized geometry", "cell": [[4.823, 0.000, 0.000], [2.411, 4.177, 0.000], [2.411, 1.392, 3.938]], "species": ["Lu", "Pb", "Pd", "Pd"], "fractional_positions": [[0.500, 0.500, 0.500], [0.000, 0.000, 0.000], [0.250, 0.250, 0.250], [0.750, 0.750, 0.750]], "crystal_system": "cubic", "sg": "Fm-3m (225)", "e_tot_ev_per_atom": -5.36, "rho_g_cm3": 12.46}

---

{"formula": "LuPdPb", "functional": "PBE", "state": "optimized geometry", "cell": [[-0.668, 2.113, -2.708], [2.931, -2.540, -2.705], [-4.582, -1.141, 0.240]], "species": ["Lu", "Pb", "Pd"], "fractional_positions": [[0.667, 0.667, 0.333], [0.166, 0.333, 0.667], [0.167, 0.000, 0.000]], "crystal_system": "hexagonal", "sg": "P-6m2 (187)", "e_tot_ev_per_atom": -5.05, "rho_g_cm3": 11.98}

---

{"formula": "LuPd2Pb", "functional": "PBE", "state": "optimized geometry", "cell": [[3.523, 0.000, 0.000], [0.000, 3.523, 0.000], [0.000, 0.000, 6.667]], "species": ["Pd", "Pd", "Pb", "Lu"], "fractional_positions": [[0.000, 0.000, 0.776], [0.000, 0.000, 0.224], [0.500, 0.500, 0.500], [0.500, 0.500, 0.000]], "crystal_system": "tetragonal", "sg": "P4/mmm (123)", "e_tot_ev_per_atom": -5.32, "rho_g_cm3": 11.94}